Entry 1:
## Tb5NdTm4 (PBE)

Data for a relaxed structure of Tb5NdTm4.

The structure belongs to space group I4 (No. 79); the cell edges are 10.138, 10.138 and 6.307 Å and the angles 90.00°, 90.00° and 90.00°. The asymmetric unit holds Tb at (0.000, 0.000, 0.000), Tb at (0.144, 0.765, 0.272), Nd at (0.000, 0.000, 0.545) and Tm at (0.051, 0.651, 0.775).

As for the energy of formation: 306 meV/atom. The size of the total moment comes out at 0.00 μB/f.u.



Entry 2:
## ScP2Br (PBE)

Data for a relaxed structure of ScP2Br.

The structure belongs to space group I-42d (No. 122); the cell edges are 4.286, 4.286 and 19.818 Å and the angles 90.00°, 90.00° and 90.00°. The asymmetric unit holds Sc at (0.000, 0.000, 0.000), P at (0.062, 0.750, 0.125) and Br at (0.000, 0.000, 0.500).

The value obtained for the polymorph energy (0 for the lowest one) is 456 meV/atom. The size of the total moment comes out at 0.00 μB/f.u.



Which formula does entry 1 have?
Tb5NdTm4



What is the size of the total moment in the second record?
0.00 μB/f.u.



Which value of size of the total moment does entry 1 give?
0.00 μB/f.u.